# 1
TaTeP3 | PBE-GGA | relaxed Values from VASP.

E above lowest polymorph = 0.000 eV/f.u.
total energy = -5.767 eV per atom
uncorrected formation energy = 0.48 eV/atom

Quantum ESPRESSO input file:
```
&SYSTEM
  ibrav = 0, nat = 5, ntyp = 3
/
ATOMIC_SPECIES
P 30.97 P.upf
Te 127.60 Te.upf
Ta 180.95 Ta.upf
ATOMIC_POSITIONS angstrom
P 0.326 -0.653 2.311
P 1.393 -1.848 -0.718
P -1.956 -1.425 -0.127
Te -0.237 -3.926 1.465
Ta 0.000 0.000 0.000
CELL_PARAMETERS angstrom
-3.911 -2.850 -0.254
2.786 -3.696 -1.437
0.651 -1.306 4.621
```



# 2
TaTe3P | PBE-GGA | relaxed Values from VASP.

E above lowest polymorph = 4.640 eV/f.u.
total energy = -4.624 eV per atom
uncorrected formation energy = 0.71 eV/atom

Quantum ESPRESSO input file:
```
&SYSTEM
  ibrav = 0, nat = 5, ntyp = 3
/
ATOMIC_SPECIES
Ta 180.95 Ta.upf
Te 127.60 Te.upf
P 30.97 P.upf
ATOMIC_POSITIONS angstrom
Ta 0.000 0.000 0.000
Te 0.000 0.000 2.709
Te 2.709 0.000 0.000
Te 0.000 2.709 0.000
P 2.709 2.709 2.709
CELL_PARAMETERS angstrom
5.419 0.000 0.000
0.000 5.419 0.000
0.000 0.000 5.419
```



# 3
Ta2TeP | PBE-GGA | relaxed Values from VASP.

E above lowest polymorph = 0.560 eV/f.u.
total energy = -8.289 eV per atom
uncorrected formation energy = -0.22 eV/atom

Quantum ESPRESSO input file:
```
&SYSTEM
  ibrav = 0, nat = 4, ntyp = 3
/
ATOMIC_SPECIES
Ta 180.95 Ta.upf
Te 127.60 Te.upf
P 30.97 P.upf
ATOMIC_POSITIONS angstrom
Ta 0.000 3.252 5.219
Ta 0.000 5.791 1.031
Te 0.000 0.977 3.107
P 0.000 3.545 0.018
CELL_PARAMETERS angstrom
1.844 3.545 0.018
-1.844 3.545 0.018
0.000 1.953 6.214
```



Among the records above, which one has the highest uncorrected formation energy? TaTe3P



Look up the uncorrected formation energy of the first one. 0.48 eV/atom



Among the records above, which one has the highest uncorrected formation energy? TaTe3P



Repeat the second record exactly.
TaTe3P | PBE-GGA | relaxed Values from VASP.

E above lowest polymorph = 4.640 eV/f.u.
total energy = -4.624 eV per atom
uncorrected formation energy = 0.71 eV/atom

Quantum ESPRESSO input file:
```
&SYSTEM
  ibrav = 0, nat = 5, ntyp = 3
/
ATOMIC_SPECIES
Ta 180.95 Ta.upf
Te 127.60 Te.upf
P 30.97 P.upf
ATOMIC_POSITIONS angstrom
Ta 0.000 0.000 0.000
Te 0.000 0.000 2.709
Te 2.709 0.000 0.000
Te 0.000 2.709 0.000
P 2.709 2.709 2.709
CELL_PARAMETERS angstrom
5.419 0.000 0.000
0.000 5.419 0.000
0.000 0.000 5.419
```